Entry 1:
Density functional theory data (PBE-GGA) for a geometry-optimized Zr4Sb2C structure.

Calculated values
ΔE_f (raw) = -0.59 eV/atom
E above lowest polymorph = 0.0000 eV per atom

Cell: 4.4493 4.4493 15.0769 Å, 90.00 90.00 90.00°
With the nearest neighbours (Å) after each atom.
Space group I4/mmm (No. 139)
Asymmetric unit:
Zr 0.0000 0.0000 0.1563 [4 per cell]  1 C 2.36
Zr 0.0000 0.5000 0.0000 [4 per cell]  2 C 2.22
Sb 0.0000 0.0000 0.3538 [4 per cell]  9 Zr 2.98-3.15
C 0.0000 0.0000 0.0000 [2 per cell]  6 Zr 2.22-2.36


Entry 2:
Density functional theory data (PBE-GGA) for a geometry-optimized Zr2SbC structure.

Calculated values
ΔE_f (raw) = 0.50 eV/atom

Cell: 6.6629 6.6629 6.6629 Å, 90.00 90.00 90.00°
With the nearest neighbours (Å) after each atom.
Space group Fm-3m (No. 225)
Asymmetric unit:
Zr 0.2500 0.2500 0.2500 [8 per cell]  4 Sb 2.89, 4 C 2.89
Sb 0.0000 0.0000 0.0000 [4 per cell]  8 Zr 2.89
C 0.0000 0.0000 0.5000 [4 per cell]  8 Zr 2.89


Entry 3:
Density functional theory data (PBE-GGA) for a geometry-optimized ZrSbC3 structure.

Calculated values
ΔE_f (raw) = 2.14 eV/atom
E above lowest polymorph = 0.0904 eV per atom

Cell: 4.1465 4.1465 4.1465 Å, 90.00 90.00 90.00°
With the nearest neighbours (Å) after each atom.
Space group Pm-3m (No. 221)
Asymmetric unit:
Zr 0.0000 0.0000 0.0000 [1 per cell]  12 C 2.93
Sb 0.5000 0.5000 0.5000 [1 per cell]  6 C 2.07
C 0.0000 0.5000 0.5000 [3 per cell]  2 Sb 2.07


Entry 4:
Density functional theory data (PBE-GGA) for a geometry-optimized Zr6Sb2C structure.

Calculated values
ΔE_f (raw) = -0.55 eV/atom

Cell: 5.9557 7.0883 10.7148 Å, 90.00 122.03 90.00°
With the nearest neighbours (Å) after each atom.
Space group P2_1/c (No. 14)
Asymmetric unit:
Zr 0.1326 0.1727 0.4677 [4 per cell]  1 C 2.37
Zr 0.3128 0.7040 0.4630 [4 per cell]  1 C 2.31
Zr 0.3596 0.0136 0.2506 [4 per cell]  1 C 2.34
Sb 0.1757 0.1038 0.7544 [4 per cell]  8 Zr 2.87-3.03
C 0.5000 0.0000 0.5000 [2 per cell]  6 Zr 2.31-2.37


Entry 5:
Density functional theory data (PBE-GGA) for a geometry-optimized Zr5Sb2C structure.

Calculated values
ΔE_f (raw) = -0.12 eV/atom

Cell: 4.3491 15.2719 12.0747 Å, 90.00 90.00 90.00°
With the nearest neighbours (Å) after each atom.
Space group Cmcm (No. 63)
Asymmetric unit:
Zr 0.0000 0.1107 0.1234 [8 per cell]  1 C 2.26
Zr 0.0000 0.2551 0.7500 [4 per cell]  2 C 2.21
Zr 0.0000 0.3032 0.0631 [8 per cell]  1 C 2.59, 2 Sb 2.89
Sb 0.0000 0.0812 0.6234 [8 per cell]  5 Zr 2.89-3.06, 1 Sb 3.06
C 0.0000 0.2199 0.2500 [4 per cell]  4 Zr 2.21-2.26


Entry 6:
Density functional theory data (PBE-GGA) for a geometry-optimized Zr3SbC structure.

Calculated values
ΔE_f (raw) = -0.47 eV/atom

Cell: 4.5809 4.5809 4.5809 Å, 90.00 90.00 90.00°
With the nearest neighbours (Å) after each atom.
Space group Pm-3m (No. 221)
Asymmetric unit:
Zr 0.0000 0.0000 0.5000 [3 per cell]  2 C 2.29
Sb 0.5000 0.5000 0.5000 [1 per cell]  12 Zr 3.24
C 0.0000 0.0000 0.0000 [1 per cell]  6 Zr 2.29


Entry 7:
Density functional theory data (PBE-GGA) for a geometry-optimized Zr2SbC structure.

Calculated values
ΔE_f (raw) = -0.72 eV/atom

Cell: 5.9907 3.4579 7.4026 Å, 90.00 105.54 90.00°
With the nearest neighbours (Å) after each atom.
Space group C2/m (No. 12)
Asymmetric unit:
Zr 0.2228 0.0000 0.1687 [4 per cell]  3 C 2.33
Sb 0.0000 0.0000 0.5000 [2 per cell]  6 Zr 3.09, 6 Sb 3.46
C 0.0000 0.5000 0.0000 [2 per cell]  6 Zr 2.33


Entry 8:
Density functional theory data (PBE-GGA) for a geometry-optimized Zr2SbC structure.

Calculated values
ΔE_f (raw) = -0.33 eV/atom

Cell: 6.7816 6.7816 7.0065 Å, 90.00 90.00 90.00°
With the nearest neighbours (Å) after each atom.
Space group I-42d (No. 122)
Asymmetric unit:
Zr 0.1550 0.7500 0.1250 [8 per cell]  2 C 2.18
Sb 0.0000 0.0000 0.5000 [4 per cell]  8 Zr 3.02-3.30
C 0.0000 0.0000 0.0000 [4 per cell]  4 Zr 2.18


Entry 9:
Density functional theory data (PBE-GGA) for a geometry-optimized Zr3Sb2C structure.

Calculated values
ΔE_f (raw) = -0.57 eV/atom

Cell: 3.3424 5.5062 13.4772 Å, 90.00 90.00 90.00°
With the nearest neighbours (Å) after each atom.
Space group Immm (No. 71)
Asymmetric unit:
Zr 0.0000 0.0000 0.0000 [2 per cell]  2 C 2.75, 4 Sb 3.01
Zr 0.0000 0.0000 0.3880 [4 per cell]  2 C 2.25
Sb 0.0000 0.5000 0.3142 [4 per cell]  6 Zr 2.93-3.20
C 0.0000 0.5000 0.0000 [2 per cell]  4 Zr 2.25


Entry 10:
Density functional theory data (PBE-GGA) for a geometry-optimized ZrSbC2 structure.

Calculated values
ΔE_f (raw) = 0.65 eV/atom

Cell: 5.2278 5.2278 9.9600 Å, 90.00 90.00 90.00°
With the nearest neighbours (Å) after each atom.
Space group I-42d (No. 122)
Asymmetric unit:
Zr 0.0000 0.0000 0.0000 [4 per cell]  4 C 2.23
Sb 0.0000 0.0000 0.5000 [4 per cell]  4 C 2.23
C 0.2500 0.2500 0.1250 [8 per cell]  2 Zr 2.23, 2 Sb 2.23


Entry 11:
Density functional theory data (PBE-GGA) for a geometry-optimized Zr4Sb2C structure.

Calculated values
ΔE_f (raw) = -0.45 eV/atom
E above lowest polymorph = 0.1433 eV per atom

Cell: 6.8323 6.1461 7.5733 Å, 90.00 105.66 90.00°
With the nearest neighbours (Å) after each atom.
Space group P2_1/m (No. 11)
Asymmetric unit:
Zr 0.0159 0.0005 0.2585 [4 per cell]  1 C 2.14
Zr 0.3699 0.2500 0.0812 [2 per cell]  1 C 2.11
Zr 0.3890 0.2500 0.6124 [2 per cell]  1 C 2.11
Sb 0.2584 0.7500 0.0579 [2 per cell]  8 Zr 2.96-3.16
Sb 0.2734 0.7500 0.5710 [2 per cell]  8 Zr 2.97-3.17
C 0.2108 0.2500 0.8012 [2 per cell]  4 Zr 2.11-2.14


Entry 12:
Density functional theory data (PBE-GGA) for a geometry-optimized Zr3SbC structure.

Calculated values
ΔE_f (raw) = -0.41 eV/atom

Cell: 15.1989 3.7486 7.8353 Å, 90.00 105.13 90.00°
With the nearest neighbours (Å) after each atom.
Space group C2/m (No. 12)
Asymmetric unit:
Zr 0.0409 0.0000 0.3394 [4 per cell]  2 C 2.19-2.23
Zr 0.1611 0.0000 0.9294 [4 per cell]  1 C 2.28
Zr 0.1841 0.5000 0.6154 [4 per cell]  2 C 2.30
Sb 0.1610 0.5000 0.2157 [4 per cell]  8 Zr 2.92-3.20
C 0.0984 0.0000 0.6318 [4 per cell]  5 Zr 2.19-2.30


Entry 13:
Density functional theory data (PBE-GGA) for a geometry-optimized Sc2C structure.

Calculated values
Calculated formation energy = 2.8 eV/f.u.

Cell: 8.6127 8.6127 4.8801 Å, 90.00 90.00 120.00°
With the nearest neighbours (Å) after each atom.
Space group P6_3/mmc (No. 194)
Asymmetric unit:
Sc 0.0000 0.0000 0.0000 [2 per cell]  2 Sc 2.44
Sc 0.1985 0.3970 0.2500 [6 per cell]  2 C 2.14
C 0.3333 0.6667 0.1012 [4 per cell]  1 C 1.45


Entry 14:
Density functional theory data (PBE-GGA) for a geometry-optimized Sc2C structure.

Calculated values
Calculated formation energy = 4.3 eV/f.u.

Cell: 4.2185 4.2185 2.7371 Å, 90.00 90.00 120.00°
With the nearest neighbours (Å) after each atom.
Space group P6/mmm (No. 191)
Asymmetric unit:
Sc 0.3333 0.6667 0.0000 [2 per cell]  3 Sc 2.44
C 0.0000 0.0000 0.5000 [1 per cell]  2 C 2.74, 12 Sc 2.79


Entry 15:
Density functional theory data (PBE-GGA) for a geometry-optimized Sc2C structure.

Calculated values
Calculated formation energy = -1.2 eV/f.u.

Cell: 3.3147 3.3147 11.4805 Å, 90.00 90.00 120.00°
With the nearest neighbours (Å) after each atom.
Space group P6_3/mmc (No. 194)
Asymmetric unit:
Sc 0.3333 0.6667 0.1072 [4 per cell]  3 C 2.28
C 0.0000 0.0000 0.0000 [2 per cell]  6 Sc 2.28


Entry 16:
Density functional theory data (PBE-GGA) for a geometry-optimized ScC structure.

Calculated values
Calculated formation energy = -0.5 eV/f.u.
E above lowest polymorph = 0.1856 eV per atom

Cell: 3.9865 3.9865 11.7791 Å, 90.00 90.00 120.00°
With the nearest neighbours (Å) after each atom.
Space group R-3m (No. 166, hexagonal axes)
Asymmetric unit:
Sc 0.0000 0.0000 0.2476 [6 per cell]  4 C 2.19-2.32
C 0.0000 0.0000 0.0621 [6 per cell]  1 C 1.46


Entry 17:
Density functional theory data (PBE-GGA) for a geometry-optimized ScC4 structure.

Calculated values
Calculated formation energy = 19.3 eV/f.u.
E above lowest polymorph = 2.2015 eV per atom

Cell: 4.2287 4.2287 4.2287 Å, 90.00 90.00 90.00°
With the nearest neighbours (Å) after each atom.
Space group Pm-3m (No. 221)
Asymmetric unit:
Sc 0.0000 0.0000 0.0000 [1 per cell]  6 C 2.11
C 0.0000 0.0000 0.5000 [3 per cell]  2 Sc 2.11
C 0.5000 0.5000 0.5000 [1 per cell]  12 C 2.99


Entry 18:
Density functional theory data (PBE-GGA) for a geometry-optimized ScC structure.

Calculated values
Calculated formation energy = 0.4 eV/f.u.
E above lowest polymorph = 0.6525 eV per atom

Cell: 7.7353 7.7353 4.5863 Å, 90.00 90.00 90.00°
With the nearest neighbours (Å) after each atom.
Space group I4/m (No. 87)
Asymmetric unit:
Sc 0.1303 0.3353 0.0000 [8 per cell]  5 C 2.24-2.36
C 0.1384 0.3395 0.5000 [8 per cell]  5 Sc 2.24-2.36


Entry 19:
Density functional theory data (PBE-GGA) for a geometry-optimized Sc3C5 structure.

Calculated values
Calculated formation energy = 8.5 eV/f.u.
E above lowest polymorph = 1.0725 eV per atom

Cell: 2.7010 2.7010 10.8668 Å, 90.00 90.00 90.00°
With the nearest neighbours (Å) after each atom.
Space group P4/mmm (No. 123)
Asymmetric unit:
Sc 0.0000 0.0000 0.0000 [1 per cell]  2 C 2.21
Sc 0.5000 0.5000 0.3609 [2 per cell]  5 C 2.22-2.44
C 0.0000 0.0000 0.2031 [2 per cell]  4 C 1.97, 1 Sc 2.21
C 0.0000 0.0000 0.5000 [1 per cell]  8 Sc 2.44, 4 C 2.70
C 0.5000 0.5000 0.1569 [2 per cell]  4 C 1.97


Entry 20:
Density functional theory data (PBE-GGA) for a geometry-optimized Sc2C structure.

Calculated values
Calculated formation energy = -0.3 eV/f.u.

Cell: 3.2707 3.2707 11.6166 Å, 90.00 90.00 120.00°
With the nearest neighbours (Å) after each atom.
Space group P6_3/mmc (No. 194)
Asymmetric unit:
Sc 0.0000 0.0000 0.1352 [4 per cell]  3 C 2.31
C 0.3333 0.6667 0.2500 [2 per cell]  6 Sc 2.31


Number 1: total moment 0.000 μB per formula unit, N(E_F) 0.751 states/eV per atom. Number 2: total moment 0.000 μB per formula unit, N(E_F) 0.813 states/eV per atom. Number 3: total moment 0.000 μB per formula unit, N(E_F) 0.808 states/eV per atom. Number 4: total moment 0.000 μB per formula unit, N(E_F) 0.817 states/eV per atom. Number 5: total moment 0.000 μB per formula unit, N(E_F) 0.744 states/eV per atom. Number 6: total moment 0.000 μB per formula unit, N(E_F) 1.270 states/eV per atom. Number 7: total moment 0.000 μB per formula unit, N(E_F) 0.480 states/eV per atom. Number 8: total moment 0.000 μB per formula unit, N(E_F) 0.420 states/eV per atom. Number 9: total moment 0.000 μB per formula unit, N(E_F) 0.524 states/eV per atom. Number 10: total moment 0.000 μB per formula unit, N(E_F) 0.817 states/eV per atom. Number 11: total moment 0.000 μB per formula unit, N(E_F) 0.556 states/eV per atom. Number 12: total moment 0.188 μB per formula unit, N(E_F) 0.713 states/eV per atom. Number 13: total moment 0.107 μB per formula unit, N(E_F) 1.201 states/eV per atom. Number 14: total moment 0.001 μB per formula unit, N(E_F) 1.524 states/eV per atom. Number 15: total moment 0.295 μB per formula unit, N(E_F) 0.775 states/eV per atom. Number 16: total moment 0.000 μB per formula unit, N(E_F) 0.238 states/eV per atom. Number 17: total moment 0.144 μB per formula unit, N(E_F) 1.078 states/eV per atom. Number 18: total moment 0.000 μB per formula unit, N(E_F) 0.866 states/eV per atom. Number 19: total moment 0.000 μB per formula unit, N(E_F) 0.403 states/eV per atom. Number 20: total moment 0.000 μB per formula unit, N(E_F) 0.538 states/eV per atom.